Entry 1:
TiVI2: relaxed, PBE-GGA.

a = 6.3811 Å, b = 6.3811 Å, c = 12.9806 Å
α = 90.00°, β = 90.00°, γ = 90.00°
Space group I-42d (No. 122)
Inequivalent atoms, fractional coordinates:
1 Ti 0.0000 0.0000 0.0000 x4
2 V 0.0000 0.0000 0.5000 x4
3 I 0.2459 0.2500 0.6250 x8

Output
DOS(E_F)	1.400	states/eV/atom
calculated volume	528.5	Å³ per cell
E	-72.857	eV for the cell shown
crystal system	tetragonal
E_form (uncorrected)	45.8	kJ per mole of atoms
size of the total moment	26.39	μB per cell


Entry 2:
TiV3I: relaxed, PBE-GGA.

a = 4.7536 Å, b = 4.7536 Å, c = 4.7536 Å
α = 90.00°, β = 90.00°, γ = 90.00°
Space group Pm-3m (No. 221)
Inequivalent atoms, fractional coordinates:
1 Ti 0.0000 0.0000 0.0000 x1
2 V 0.0000 0.5000 0.5000 x3
3 I 0.5000 0.5000 0.5000 x1

Output
DOS(E_F)	1.720	states/eV/atom
calculated volume	107.4	Å³ per cell
E	-29.055	eV for the cell shown
crystal system	cubic
E_form (uncorrected)	149.5	kJ per mole of atoms
size of the total moment	2.43	μB per cell


Number 1: ΔE to the lowest computed polymorph 34.8 kJ/mol of formula units. Number 2: ΔE to the lowest computed polymorph 81.7 kJ/mol of formula units.